A plane-wave DFT calculation with GGA-PBE was carried out for an optimized crystal structure of CsBaTa.

Summary:
Energy of formation from the pure elements (eV/atom): 0.526
ΔE to the lowest computed polymorph (eV per atom): 0.000
Total energy (eV/f.u.): -13.1

a b c (Å): 4.633 12.805 13.224
angles (deg): 80.47 89.99 80.93
Space group P1 (No. 1)
One atom of each set of equivalent atoms:
Cs  0.000  0.000  0.000
Cs  0.161  0.655  0.586
Cs  0.433  0.045  0.563
Cs  0.795  0.349  0.832
Ba  0.340  0.270  0.187
Ba  0.627  0.746  0.274
Ba  0.645  0.705  0.882
Ba  0.780  0.398  0.426
Ta  0.157  0.679  0.088
Ta  0.225  0.522  0.238
Ta  0.233  0.504  0.023
Ta  0.719  0.536  0.126